Compound: Nd3CdO
Source: the Open Quantum Materials Database
Functional: PBE-GGA
Structure: relaxed

Structure (POSCAR):
```
Nd3CdO
1.0
4.969 0.000 0.000
0.000 4.969 0.000
0.000 0.000 4.969
Cd Nd O
1 3 1
direct
0.500 0.500 0.500
0.500 0.000 0.000
0.000 0.500 0.000
0.000 0.000 0.500
0.000 0.000 0.000
```

Calculated values
The value obtained for the energy is -5.313 eV/atom. For the magnetic moment, the calculation gives 0.0 μB/cell. The symmetry is No. 221.

***

Compound: NdSnIrPd
Source: the Open Quantum Materials Database
Functional: PBE-GGA
Structure: relaxed

Structure (POSCAR):
```
NdSnIrPd
1.0
-0.454 -3.909 -2.336
2.499 3.422 -1.729
7.623 -3.421 4.244
Ir Nd Pd Sn
2 2 2 2
direct
0.333 0.667 0.083
0.667 0.333 0.917
0.667 0.333 0.242
0.333 0.667 0.758
0.333 0.667 0.419
0.667 0.333 0.581
0.000 0.000 0.000
0.000 0.000 0.500
```

Calculated values
For the magnetic moment, the calculation gives 0.0 μB/cell. The value obtained for the offset from the most stable computed form is 0.018 eV per formula unit. The symmetry is No. 164.

***

Compound: ErAlGa
Source: the Open Quantum Materials Database
Functional: PBE-GGA
Structure: relaxed

Structure (POSCAR):
```
ErAlGa
1.0
0.000 3.208 3.208
3.208 0.000 3.208
3.208 3.208 0.000
Al Er Ga
1 1 1
direct
0.250 0.250 0.250
0.750 0.750 0.750
0.000 0.000 0.000
```

Calculated values
The value obtained for the energy is -4.108 eV/atom. For the magnetic moment, the calculation gives 0.0 μB/cell. The symmetry is No. 216.

***

Compound: BMo2Pt
Source: the Open Quantum Materials Database
Functional: PBE-GGA
Structure: relaxed

Structure (POSCAR):
```
BMo2Pt
1.0
-2.321 0.731 3.524
-1.286 3.978 0.930
-4.139 1.047 -0.341
B Mo Pt
1 2 1
direct
0.500 0.500 0.500
0.000 0.000 0.000
0.750 0.750 0.750
0.250 0.250 0.250
```

Calculated values
The value obtained for the energy is -8.010 eV/atom. For the magnetic moment, the calculation gives 0.2 μB/cell. The symmetry is No. 216.

***

Compound: ErNb2P3
Source: the Open Quantum Materials Database
Functional: PBE-GGA
Structure: relaxed

Structure (POSCAR):
```
ErNb2P3
1.0
3.732 0.000 0.000
-1.866 3.232 0.000
0.000 0.000 8.936
Er Nb P
1 2 3
direct
0.000 0.000 0.500
0.667 0.333 0.146
0.333 0.667 0.854
0.000 0.000 0.000
0.333 0.667 0.312
0.667 0.333 0.688
```

Calculated values
The value obtained for the energy is -7.751 eV/atom. For the magnetic moment, the calculation gives 0.0 μB/cell. The symmetry is No. 164.

***

Compound: TePd15
Source: the Open Quantum Materials Database
Functional: PBE-GGA
Structure: relaxed

Structure (POSCAR):
```
TePd15
1.0
5.531 0.000 0.000
0.000 2.837 0.000
-0.001 0.000 43.944
Pd Te
30 2
direct
0.375 0.000 0.165
0.626 0.500 0.212
0.124 0.500 0.212
0.375 0.000 0.257
0.875 0.000 0.258
0.125 0.500 0.302
0.625 0.500 0.302
0.375 0.000 0.346
0.875 0.000 0.346
0.125 0.500 0.390
0.625 0.500 0.390
0.375 0.000 0.434
0.875 0.000 0.434
0.125 0.500 0.478
0.625 0.500 0.478
0.375 0.000 0.522
0.875 0.000 0.522
0.125 0.500 0.566
0.625 0.500 0.566
0.375 0.000 0.610
0.875 0.000 0.610
0.125 0.500 0.654
0.625 0.500 0.654
0.375 0.000 0.698
0.875 0.000 0.698
0.125 0.500 0.742
0.625 0.500 0.743
0.876 0.000 0.788
0.374 0.000 0.788
0.625 0.500 0.835
0.875 0.000 0.166
0.125 0.500 0.834
```

Calculated values
The value obtained for the offset from the most stable computed form is 0.623 eV per formula unit. The symmetry is No. 11.

***

Compound: Zr2H3
Source: the Open Quantum Materials Database
Functional: PBE-GGA
Structure: relaxed

Structure (POSCAR):
```
Zr2H3
1.0
-2.920 0.669 1.317
0.630 -3.730 3.292
3.694 3.915 3.730
H Zr
6 4
direct
0.008 0.249 0.001
0.500 0.751 0.250
0.992 0.249 0.499
0.008 0.751 0.501
0.500 0.249 0.750
0.992 0.751 0.999
0.500 0.500 0.000
0.000 0.004 0.250
0.500 0.500 0.500
0.000 0.996 0.750
```

Calculated values
For the magnetic moment, the calculation gives 0.0 μB/cell. The value obtained for the offset from the most stable computed form is 0.029 eV per formula unit. The symmetry is No. 13.

***

Compound: SiNi3H
Source: the Open Quantum Materials Database
Functional: PBE-GGA
Structure: relaxed

Structure (POSCAR):
```
SiNi3H
1.0
0.853 3.259 3.819
-4.863 1.501 0.177
1.308 -4.911 0.317
H Ni Si
2 6 2
direct
0.000 0.000 0.000
0.500 0.500 0.000
0.250 0.250 0.000
0.750 0.750 0.000
0.304 0.804 0.107
0.196 0.304 0.500
0.804 0.696 0.500
0.696 0.196 0.893
0.750 0.250 0.500
0.250 0.750 0.500
```

Calculated values
The value obtained for the energy is -5.448 eV/atom. For the magnetic moment, the calculation gives 0.0 μB/cell. The symmetry is No. 140.